## K3Tc2Cl8 (PBE-GGA)

Data for K3Tc2Cl8 after structural relaxation.

Cell lengths 12.986, 12.986, 8.249 Å; angles 90.00, 90.00, 120.00 degrees
Sites, in units of the cell vectors:
Cl 0.795 0.420 0.733
Cl 0.173 0.803 0.266
Cl 0.305 0.055 0.051
Cl 0.441 0.503 0.270
Cl 0.370 0.197 0.401
Cl 0.062 0.559 0.937
Cl 0.197 0.370 0.599
Cl 0.503 0.441 0.730
Cl 0.827 0.630 0.068
Cl 0.803 0.173 0.734
Cl 0.497 0.938 0.604
Cl 0.420 0.795 0.267
Cl 0.559 0.062 0.063
Cl 0.205 0.625 0.601
Cl 0.580 0.375 0.066
Cl 0.945 0.250 0.385
Cl 0.375 0.580 0.934
Cl 0.055 0.305 0.949
Cl 0.630 0.827 0.932
Cl 0.938 0.497 0.396
Cl 0.750 0.695 0.718
Cl 0.625 0.205 0.399
Cl 0.695 0.750 0.282
Cl 0.250 0.945 0.615
Tc 0.562 0.645 0.066
Tc 0.917 0.355 0.601
Tc 0.645 0.562 0.934
Tc 0.438 0.083 0.268
Tc 0.355 0.917 0.399
Tc 0.083 0.438 0.732
K 0.491 0.671 0.590
K 0.509 0.180 0.743
K 0.703 0.000 0.333
K 0.671 0.491 0.410
K 0.820 0.329 0.077
K 0.180 0.509 0.257
K 0.297 0.297 0.000
K 0.000 0.703 0.667
K 0.329 0.820 0.923

The calculation puts the energy relative to the elements, uncorrected at -1617 kJ/mol of formula units. For the mass density, the calculation gives 2.47 g/cm3. Its space group is No. 152. Its magnetic moment is 0.075 μB per atom.